# 1
Computed, not measured: a geometry-optimized Tl2Sb2PdAu2 structure at the PBE-GGA level of DFT.

abc: 4.5898 5.8561 6.9111
angles: 84.05 70.98 87.07
Closest atoms and distances in Å follow each position.
Sites, in units of the cell vectors:
Tl1 0.0638 0.2423 0.4029  2 Pd 2.85, 2 Au 2.94-3.02, 1 Tl 3.01
Tl2 0.9362 0.7577 0.5971  2 Pd 2.85, 2 Au 2.94-3.02, 1 Tl 3.01
Sb1 0.3153 0.2426 0.8650  1 Pd 2.70, 4 Au 2.80-2.94
Sb2 0.6847 0.7574 0.1350  1 Pd 2.70, 4 Au 2.80-2.94
Pd1 0.5000 0.5000 0.5000  2 Sb 2.70, 4 Tl 2.85, 2 Au 3.02
Au1 0.3043 0.7408 0.8892  4 Sb 2.80-2.94, 2 Tl 2.94-3.02, 1 Pd 3.02
Au2 0.6957 0.2592 0.1108  4 Sb 2.80-2.94, 2 Tl 2.94-3.02, 1 Pd 3.02

Summary:
space group	P-1
total DFT energy (no corrections)	-3.637	eV per atom

=====

# 2
Computed, not measured: a geometry-optimized TlSb2PdAu structure at the PBE-GGA level of DFT.

abc: 5.1013 5.1013 6.0628
angles: 90.00 90.00 90.00
Closest atoms and distances in Å follow each position.
Sites, in units of the cell vectors:
Tl1 0.0000 0.0000 0.0000  1 Pd 2.77
Sb1 0.0000 0.5000 0.3986  2 Pd 2.70, 2 Au 2.78
Sb2 0.5000 0.0000 0.3986  2 Pd 2.70, 2 Au 2.78
Pd1 0.0000 0.0000 0.5424  4 Sb 2.70, 1 Tl 2.77
Au1 0.5000 0.5000 0.2160  4 Sb 2.78

Summary:
space group	P4mm
total DFT energy (no corrections)	-3.849	eV per atom

=====

# 3
Computed, not measured: a geometry-optimized TmSb2Pd7Au2 structure at the PBE-GGA level of DFT.

abc: 4.1099 4.1099 12.8158
angles: 90.02 90.02 89.11
Closest atoms and distances in Å follow each position.
Sites, in units of the cell vectors:
Tm1 0.0000 0.0000 0.0000  12 Pd 2.88-2.93
Sb1 0.0010 0.0010 0.3265  6 Pd 2.67-2.97, 4 Au 2.89-2.94
Sb2 0.9990 0.9990 0.6735  6 Pd 2.67-2.97, 4 Au 2.89-2.94
Pd1 0.9998 0.4996 0.1596  2 Au 2.84, 6 Pd 2.88-2.93, 2 Tm 2.90, 2 Sb 2.96-2.97
Pd2 0.0002 0.5004 0.8404  2 Au 2.84, 6 Pd 2.88-2.93, 2 Tm 2.90, 2 Sb 2.96-2.97
Pd3 0.2520 0.2520 0.5004  2 Sb 2.67, 2 Au 2.80-2.81, 4 Pd 2.88-2.95
Pd4 0.4996 0.9998 0.1596  2 Au 2.84, 6 Pd 2.88-2.93, 2 Tm 2.90, 2 Sb 2.96-2.97
Pd5 0.5004 0.0002 0.8404  2 Au 2.84, 6 Pd 2.88-2.93, 2 Tm 2.90, 2 Sb 2.96-2.97
Pd6 0.5000 0.5000 0.0000  4 Tm 2.88-2.93, 8 Pd 2.90
Pd7 0.7480 0.7480 0.4996  2 Sb 2.67, 2 Au 2.80-2.81, 4 Pd 2.88-2.95
Au1 0.5000 0.5000 0.3125  6 Pd 2.80-2.84, 4 Sb 2.89-2.94
Au2 0.5000 0.5000 0.6875  6 Pd 2.80-2.84, 4 Sb 2.89-2.94

Summary:
space group	C2/m
total DFT energy (no corrections)	-5.063	eV per atom